1.
Here is a geometry-optimized ZrTa2Au structure from Alexandria via LeMat-Bulk. Energies are from PBE.

**VASP energy**: -34.8 eV/f.u.
**M_tot**: 0.0 μB per formula unit
**Distance to the lowest polymorph of the same formula**: 0.310 eV per atom
**Symmetry**: Fm-3m
**Fermi-level density of states**: 5.9 states/eV/cell

a = 4.729 Å, b = 4.729 Å, c = 4.729 Å
α = 60.00°, β = 60.00°, γ = 60.00°
Fractional coordinates of all 4 atoms:
1 Au 0.500 0.500 0.500
2 Zr 0.000 0.000 0.000
3 Ta 0.250 0.250 0.250
4 Ta 0.750 0.750 0.750

2.
Here is a geometry-optimized ZrTaAu2 structure from Alexandria via LeMat-Bulk. Energies are from PBE.

**VASP energy**: -27.9 eV/f.u.
**M_tot**: 0.0 μB per formula unit
**Symmetry**: C2/m
**Fermi-level density of states**: 3.6 states/eV/cell

a = 6.673 Å, b = 5.140 Å, c = 2.984 Å
α = 90.10°, β = 63.26°, γ = 121.23°
Fractional coordinates of all 4 atoms:
1 Au 0.000 0.000 0.000
2 Au 0.500 0.000 0.500
3 Ta 0.000 0.500 0.500
4 Zr 0.500 0.500 0.000

3.
Here is a geometry-optimized ZrTaAu2 structure from Alexandria via LeMat-Bulk. Energies are from PBE.

**VASP energy**: -27.5 eV/f.u.
**M_tot**: 0.0 μB per formula unit
**Symmetry**: P4/mmm
**Fermi-level density of states**: 5.0 states/eV/cell

a = 5.113 Å, b = 5.113 Å, c = 2.911 Å
α = 90.00°, β = 90.00°, γ = 90.00°
Fractional coordinates of all 4 atoms:
1 Au 0.000 0.000 0.000
2 Au 0.500 0.500 0.000
3 Ta 0.500 0.000 0.500
4 Zr 0.000 0.500 0.500